# DyErGa2, relaxed, DFT PBE-GGA
# SG = No. 6
# total energy = -4.435 eV/atom
data_DyErGa2
_chemical_formula_sum 'Dy1 Er1 Ga2'
_symmetry_space_group_name_H-M 'P 1'
_symmetry_Int_Tables_number 1
_symmetry_space_group_name_Hall 'P 1'
_cell_length_a 4.3352
_cell_length_b 4.0247
_cell_length_c 5.8265
_cell_angle_alpha 90.00
_cell_angle_beta 111.81
_cell_angle_gamma 90.00
loop_
_atom_site_label
_atom_site_fract_x
_atom_site_fract_y
_atom_site_fract_z
Dy1 0.4438 0.5000 0.4254
Er1 0.7210 0.0000 0.9822
Ga1 0.0064 0.0000 0.5503
Ga2 0.1598 0.5000 0.8601

# DyErGa, relaxed, DFT PBE-GGA
# SG = No. 216
# polymorph energy (0 for the lowest one) = 0 meV/atom
data_DyErGa
_chemical_formula_sum 'Dy1 Er1 Ga1'
_symmetry_space_group_name_H-M 'P 1'
_symmetry_Int_Tables_number 1
_symmetry_space_group_name_Hall 'P 1'
_cell_length_a 4.9324
_cell_length_b 4.9324
_cell_length_c 4.9324
_cell_angle_alpha 60.00
_cell_angle_beta 60.00
_cell_angle_gamma 60.00
loop_
_atom_site_label
_atom_site_fract_x
_atom_site_fract_y
_atom_site_fract_z
Dy1 0.2500 0.2500 0.2500
Er1 0.7500 0.7500 0.7500
Ga1 0.0000 0.0000 0.0000

# DyErGa2, relaxed, DFT PBE-GGA
# SG = No. 63
# total energy = -4.436 eV/atom
data_DyErGa2
_chemical_formula_sum 'Dy2 Er2 Ga4'
_symmetry_space_group_name_H-M 'P 1'
_symmetry_Int_Tables_number 1
_symmetry_space_group_name_Hall 'P 1'
_cell_length_a 6.8674
_cell_length_b 6.8674
_cell_length_c 6.6056
_cell_angle_alpha 90.00
_cell_angle_beta 90.00
_cell_angle_gamma 143.07
loop_
_atom_site_label
_atom_site_fract_x
_atom_site_fract_y
_atom_site_fract_z
Dy1 0.9464 0.0536 0.2500
Dy2 0.0536 0.9464 0.7500
Er1 0.2226 0.7774 0.2500
Er2 0.7774 0.2226 0.7500
Ga1 0.5993 0.4007 0.0536
Ga2 0.5993 0.4007 0.4464
Ga3 0.4007 0.5993 0.5536
Ga4 0.4007 0.5993 0.9464

# GdDyEr2Ga2, relaxed, DFT PBE-GGA
# SG = No. 187
# total energy = -4.469 eV/atom
data_GdDyEr2Ga2
_chemical_formula_sum 'Gd1 Dy1 Er2 Ga2'
_symmetry_space_group_name_H-M 'P 1'
_symmetry_Int_Tables_number 1
_symmetry_space_group_name_Hall 'P 1'
_cell_length_a 5.1482
_cell_length_b 5.1482
_cell_length_c 6.5703
_cell_angle_alpha 90.00
_cell_angle_beta 90.00
_cell_angle_gamma 120.00
loop_
_atom_site_label
_atom_site_fract_x
_atom_site_fract_y
_atom_site_fract_z
Dy1 0.3333 0.6667 0.0000
Er1 0.6667 0.3333 0.2488
Er2 0.6667 0.3333 0.7512
Ga1 0.0000 0.0000 0.0000
Ga2 0.3333 0.6667 0.5000
Gd1 0.0000 0.0000 0.5000

# Dy2ErGa3NiGe2, relaxed, DFT PBE-GGA
# SG = No. 38
# total energy = -4.904 eV/atom
data_Dy2ErGa3NiGe2
_chemical_formula_sum 'Dy2 Er1 Ga3 Ni1 Ge2'
_symmetry_space_group_name_H-M 'P 1'
_symmetry_Int_Tables_number 1
_symmetry_space_group_name_Hall 'P 1'
_cell_length_a 4.1414
_cell_length_b 6.9611
_cell_length_c 6.9611
_cell_angle_alpha 119.91
_cell_angle_beta 90.00
_cell_angle_gamma 90.00
loop_
_atom_site_label
_atom_site_fract_x
_atom_site_fract_y
_atom_site_fract_z
Dy1 0.0000 0.9997 0.5999
Dy2 0.0000 0.5999 0.9997
Er1 0.0000 0.3992 0.3992
Ga1 0.5000 0.2299 0.0008
Ga2 0.5000 0.0008 0.2299
Ga3 0.5000 0.7700 0.7700
Ge1 0.5000 0.6653 0.3338
Ge2 0.5000 0.3338 0.6653
Ni1 0.0000 0.0014 0.0014

# DyEr2Ga3Ge2Pd, relaxed, DFT PBE-GGA
# SG = No. 38
# total energy = -4.913 eV/atom
data_DyEr2Ga3Ge2Pd
_chemical_formula_sum 'Dy1 Er2 Ga3 Ge2 Pd1'
_symmetry_space_group_name_H-M 'P 1'
_symmetry_Int_Tables_number 1
_symmetry_space_group_name_Hall 'P 1'
_cell_length_a 4.2168
_cell_length_b 6.9953
_cell_length_c 6.9953
_cell_angle_alpha 120.23
_cell_angle_beta 90.00
_cell_angle_gamma 90.00
loop_
_atom_site_label
_atom_site_fract_x
_atom_site_fract_y
_atom_site_fract_z
Dy1 0.0000 0.5876 0.5876
Er1 0.0000 0.9992 0.4110
Er2 0.0000 0.4110 0.9992
Ga1 0.5000 0.7628 0.0001
Ga2 0.5000 0.2376 0.2376
Ga3 0.5000 0.0001 0.7628
Ge1 0.5000 0.6673 0.3317
Ge2 0.5000 0.3317 0.6673
Pd1 0.0000 0.0027 0.0027

# DyEr2InGa2Hg3, relaxed, DFT PBE-GGA
# SG = No. 38
# total energy = -3.060 eV/atom
data_DyEr2InGa2Hg3
_chemical_formula_sum 'Dy1 Er2 In1 Ga2 Hg3'
_symmetry_space_group_name_H-M 'P 1'
_symmetry_Int_Tables_number 1
_symmetry_space_group_name_Hall 'P 1'
_cell_length_a 4.4435
_cell_length_b 7.3451
_cell_length_c 7.3451
_cell_angle_alpha 120.08
_cell_angle_beta 90.00
_cell_angle_gamma 90.00
loop_
_atom_site_label
_atom_site_fract_x
_atom_site_fract_y
_atom_site_fract_z
Dy1 0.0000 0.5662 0.5662
Er1 0.0000 0.9996 0.4344
Er2 0.0000 0.4344 0.9996
Ga1 0.5000 0.6669 0.3324
Ga2 0.5000 0.3324 0.6669
Hg1 0.5000 0.2650 0.2650
Hg2 0.5000 0.9996 0.7348
Hg3 0.5000 0.7348 0.9996
In1 0.0000 0.0012 0.0012

# DyHo2ErGa2, relaxed, DFT PBE-GGA
# SG = No. 187
# total energy = -4.457 eV/atom
data_DyHo2ErGa2
_chemical_formula_sum 'Dy1 Ho2 Er1 Ga2'
_symmetry_space_group_name_H-M 'P 1'
_symmetry_Int_Tables_number 1
_symmetry_space_group_name_Hall 'P 1'
_cell_length_a 5.1376
_cell_length_b 5.1376
_cell_length_c 6.5598
_cell_angle_alpha 90.00
_cell_angle_beta 90.00
_cell_angle_gamma 120.00
loop_
_atom_site_label
_atom_site_fract_x
_atom_site_fract_y
_atom_site_fract_z
Dy1 0.0000 0.0000 0.0000
Er1 0.3333 0.6667 0.5000
Ga1 0.3333 0.6667 0.0000
Ga2 0.0000 0.0000 0.5000
Ho1 0.6667 0.3333 0.2512
Ho2 0.6667 0.3333 0.7488